# 1
DFT (GGA-PBE) results for a relaxed structure of CaAl2Se.

Values from the calculation:
* Fermi-level density of states: 1.92 states/eV per cell
* total magnetization: 0.00 μB/f.u.
* symmetry: P2/m
* density: 2.9 Mg/m³
* uncorrected formation energy: -0.42 eV/atom
* electronic total energy: -3.67 eV per atom

```
CaAl2Se
1.0
3.7436 0.0000 0.0000
0.0000 6.1760 0.0000
-0.0092 0.0000 4.2447
Ca Al Se
1 2 1
Direct
0.0000 0.0000 0.0000
0.2710 0.5000 0.7432
0.7290 0.5000 0.2568
0.5000 0.0000 0.5000
```

=====

# 2
DFT (GGA-PBE) results for a relaxed structure of CaAl2Se.

Values from the calculation:
* Fermi-level density of states: 3.16 states/eV per cell
* total magnetization: 0.00 μB/f.u.
* symmetry: P4mm
* density: 3.1 Mg/m³
* uncorrected formation energy: -0.41 eV/atom
* electronic total energy: -3.65 eV per atom

```
CaAl2Se
1.0
3.8691 0.0000 0.0000
0.0000 3.8691 0.0000
0.0000 0.0000 6.2197
Ca Al Se
1 2 1
Direct
0.0000 0.0000 0.0000
0.0000 0.0000 0.5152
0.5000 0.5000 0.6264
0.5000 0.5000 0.1833
```

=====

# 3
DFT (GGA-PBE) results for a relaxed structure of Ca3AlSe.

Values from the calculation:
* Fermi-level density of states: 5.98 states/eV per cell
* total magnetization: 0.00 μB/f.u.
* ΔE to the lowest computed polymorph: 0.0000 eV/atom
* symmetry: Pm-3m
* density: 2.3 Mg/m³
* uncorrected formation energy: -0.60 eV/atom
* electronic total energy: -3.25 eV per atom

```
Ca3AlSe
1.0
5.5031 0.0000 0.0000
0.0000 5.5031 0.0000
0.0000 0.0000 5.5031
Ca Al Se
3 1 1
Direct
0.0000 0.0000 0.5000
0.0000 0.5000 0.0000
0.5000 0.0000 0.0000
0.5000 0.5000 0.5000
0.0000 0.0000 0.0000
```

=====

# 4
DFT (GGA-PBE) results for a relaxed structure of Ca3AlSe4.

Values from the calculation:
* Fermi-level density of states: 5.68 states/eV per cell
* total magnetization: 0.00 μB/f.u.
* symmetry: Pmn2_1
* density: 3.1 Mg/m³
* uncorrected formation energy: -1.47 eV/atom
* electronic total energy: -4.43 eV per atom

```
Ca3AlSe4
1.0
9.7812 0.0000 0.0000
0.0000 8.5443 0.0000
0.0000 0.0000 5.8748
Ca Al Se
6 2 8
Direct
0.0000 0.1614 0.9995
0.2470 0.3338 0.5000
0.2530 0.6662 0.0000
0.5000 0.8386 0.4995
0.7470 0.6662 0.0000
0.7530 0.3338 0.5000
0.0000 0.8300 0.4608
0.5000 0.1700 0.9608
0.0000 0.1421 0.5004
0.0000 0.8294 0.0244
0.2361 0.6758 0.5010
0.2639 0.3242 0.0010
0.5000 0.1706 0.5244
0.5000 0.8579 0.0004
0.7361 0.3242 0.0010
0.7639 0.6758 0.5010
```

=====

# 5
DFT (GGA-PBE) results for a relaxed structure of Ca3Al5Se12.

Values from the calculation:
* Fermi-level density of states: 68.95 states/eV per cell
* total magnetization: 0.00 μB/f.u.
* symmetry: Ia-3d
* density: 4.0 Mg/m³
* uncorrected formation energy: -1.00 eV/atom
* electronic total energy: -4.32 eV per atom

```
Ca3Al5Se12
1.0
-7.9400 7.9400 7.9400
7.9400 -7.9400 7.9400
7.9400 7.9400 -7.9400
Ca Al Se
12 20 48
Direct
0.1250 0.2500 0.3750
0.1250 0.3750 0.7500
0.2500 0.3750 0.1250
0.2500 0.8750 0.6250
0.3750 0.1250 0.2500
0.3750 0.7500 0.1250
0.6250 0.2500 0.8750
0.6250 0.8750 0.7500
0.7500 0.1250 0.3750
0.7500 0.6250 0.8750
0.8750 0.6250 0.2500
0.8750 0.7500 0.6250
0.0000 0.0000 0.0000
0.0000 0.0000 0.5000
0.0000 0.5000 0.0000
0.0000 0.5000 0.5000
0.1250 0.7500 0.8750
0.1250 0.8750 0.2500
0.2500 0.1250 0.8750
0.2500 0.6250 0.3750
0.3750 0.2500 0.6250
0.3750 0.6250 0.7500
0.5000 0.0000 0.0000
0.5000 0.0000 0.5000
0.5000 0.5000 0.0000
0.5000 0.5000 0.5000
0.6250 0.3750 0.2500
0.6250 0.7500 0.3750
0.7500 0.3750 0.6250
0.7500 0.8750 0.1250
0.8750 0.1250 0.7500
0.8750 0.2500 0.1250
0.0290 0.2067 0.1168
0.0290 0.3223 0.9122
0.0878 0.6168 0.4101
0.0878 0.9710 0.6777
0.0899 0.7067 0.6777
0.0899 0.8832 0.4122
0.1168 0.0290 0.2067
0.1168 0.5878 0.9101
0.1777 0.2067 0.5899
0.1777 0.4710 0.5878
0.2067 0.1168 0.0290
0.2067 0.5899 0.1777
0.2933 0.3223 0.9101
0.2933 0.4710 0.3832
0.3223 0.9101 0.2933
0.3223 0.9122 0.0290
0.3832 0.2933 0.4710
0.3832 0.5899 0.9122
0.4101 0.0878 0.6168
0.4101 0.8223 0.7933
0.4122 0.0899 0.8832
0.4122 0.8223 0.5290
0.4710 0.3832 0.2933
0.4710 0.5878 0.1777
0.5290 0.4122 0.8223
0.5290 0.6168 0.7067
0.5878 0.1777 0.4710
0.5878 0.9101 0.1168
0.5899 0.1777 0.2067
0.5899 0.9122 0.3832
0.6168 0.4101 0.0878
0.6168 0.7067 0.5290
0.6777 0.0878 0.9710
0.6777 0.0899 0.7067
0.7067 0.5290 0.6168
0.7067 0.6777 0.0899
0.7933 0.4101 0.8223
0.7933 0.8832 0.9710
0.8223 0.5290 0.4122
0.8223 0.7933 0.4101
0.8832 0.4122 0.0899
0.8832 0.9710 0.7933
0.9101 0.1168 0.5878
0.9101 0.2933 0.3223
0.9122 0.0290 0.3223
0.9122 0.3832 0.5899
0.9710 0.6777 0.0878
0.9710 0.7933 0.8832
```

=====

# 6
DFT (GGA-PBE) results for a relaxed structure of CaAl2Se.

Values from the calculation:
* Fermi-level density of states: 2.45 states/eV per cell
* total magnetization: 0.00 μB/f.u.
* symmetry: R-3m
* density: 3.0 Mg/m³
* uncorrected formation energy: -0.17 eV/atom
* electronic total energy: -3.41 eV per atom

```
CaAl2Se
1.0
1.8050 1.0421 8.4782
-1.8050 1.0421 8.4782
0.0000 -2.0843 8.4782
Ca Al Se
1 2 1
Direct
0.0000 0.0000 0.0000
0.2354 0.2354 0.2354
0.7646 0.7646 0.7646
0.5000 0.5000 0.5000
```

=====

# 7
DFT (GGA-PBE) results for a relaxed structure of CaAl2Se.

Values from the calculation:
* Fermi-level density of states: 2.19 states/eV per cell
* total magnetization: 0.00 μB/f.u.
* symmetry: P4/mmm
* density: 3.2 Mg/m³
* uncorrected formation energy: -0.20 eV/atom
* electronic total energy: -3.45 eV per atom

```
CaAl2Se
1.0
3.5475 0.0000 0.0000
0.0000 3.5475 0.0000
0.0000 0.0000 7.0591
Ca Al Se
1 2 1
Direct
0.0000 0.0000 0.0000
0.5000 0.5000 0.3013
0.5000 0.5000 0.6987
0.0000 0.0000 0.5000
```

=====

# 8
DFT (GGA-PBE) results for a relaxed structure of CaAl2Se.

Values from the calculation:
* Fermi-level density of states: 1.95 states/eV per cell
* total magnetization: 0.00 μB/f.u.
* symmetry: P2/m
* density: 3.1 Mg/m³
* uncorrected formation energy: -0.47 eV/atom
* electronic total energy: -3.71 eV per atom

```
CaAl2Se
1.0
4.2648 0.0000 0.0000
0.0000 3.8226 0.0000
-1.7644 0.0000 5.7469
Ca Al Se
1 2 1
Direct
0.0000 0.0000 0.0000
0.0000 0.5000 0.5000
0.5000 0.0000 0.5000
0.5000 0.5000 0.0000
```